Entry 1:
The following is a PBE-GGA calculation of an optimized crystal structure of SmHoEr, from OQMD via LeMat-Bulk.

extended XYZ file:
```
3
Lattice="0.000 3.825 3.825 3.825 0.000 3.825 3.825 3.825 0.000" Properties=species:S:1:pos:R:3 pbc="T T T"
Ho 1.913 1.913 1.913
Er 0.000 0.000 0.000
Sm 5.738 5.738 5.738
```

Results
- energy above the lowest structure with this stoichiometry (eV/f.u.) = 0.000
- ΔE_f (meV per atom) = 715



Entry 2:
The following is a PBE-GGA calculation of an optimized crystal structure of Tl2NiSn, from OQMD via LeMat-Bulk.

extended XYZ file:
```
4
Lattice="2.563 1.479 4.185 -2.563 1.479 4.185 0.000 -2.959 4.185" Properties=species:S:1:pos:R:3 pbc="T T T"
Tl 0.000 0.000 9.415
Ni 0.000 0.000 6.277
Sn 0.000 0.000 3.138
Tl 0.000 0.000 0.000
```

Results
- uncorrected energy (eV per atom) = -3.20